Entry 1:
The following is a DFT calculation (GGA-PBE) of a geometry-optimized P2AuS2 structure.

Fermi-level density of states (states/eV per cell): 4.992
Space-group type: P4/mmm
Magnetic moment (μB/atom): 0.114
Energy relative to the elements, uncorrected (eV per atom): 1.328
V (Å³ per atom): 22.3
Energy above the lowest structure with this stoichiometry (meV/atom): 1349

```
P2AuS2
1.0
-3.292 2.498 2.479
-3.085 -3.682 -0.387
1.688 -1.844 4.099
P S Au
2 2 1
Cartesian
-1.542 -1.841 -0.193 P
-1.646 1.249 1.240 P
-2.345 -1.515 3.096 S
0.844 -0.922 2.050 S
0.000 0.000 0.000 Au
```


Entry 2:
The following is a DFT calculation (GGA-PBE) of a geometry-optimized BiPSeS2 structure.

Fermi-level density of states (states/eV per cell): 3.091
Space-group type: P4/mmm
Magnetic moment (μB/atom): 0.000
Energy relative to the elements, uncorrected (eV per atom): 0.552
V (Å³ per atom): 22.3
Energy above the lowest structure with this stoichiometry (meV/atom): 0

```
BiPSeS2
1.0
-0.246 4.253 2.183
-4.251 -1.195 1.849
2.221 -1.872 3.896
P S Bi Se
1 2 1 1
Cartesian
1.110 -0.936 1.948 P
-2.126 -0.597 0.924 S
-0.123 2.127 1.092 S
-1.138 0.593 3.964 Bi
0.000 0.000 0.000 Se
```